Compound: NdDy2MoO8
Source: Alexandria
Functional: PBE+U
Structure: relaxed Values from VASP.

Computed properties:
final energy	-92.44	eV/cell
DOS(E_F)	0.4380	states/eV/atom
spin magnetization	0.93	μB/f.u.

Geometry as Quantum ESPRESSO input:
```
&SYSTEM
  ibrav = 0, nat = 12, ntyp = 4
/
ATOMIC_SPECIES
Nd 144.24 Nd.upf
Dy 162.50 Dy.upf
Mo 95.94 Mo.upf
O 16.00 O.upf
CELL_PARAMETERS angstrom
5.066 0.000 0.000
0.000 6.951 0.000
-0.035 0.000 5.066
ATOMIC_POSITIONS angstrom
Nd 0.000 0.000 0.000
Dy 2.515 1.788 2.533
Dy 2.515 5.163 2.533
Mo 0.000 3.475 0.000
O 0.904 2.048 4.128
O 0.904 4.903 4.128
O 1.387 3.475 1.391
O 1.600 0.000 1.603
O 3.431 0.000 3.463
O 3.644 3.475 3.675
O 4.127 2.048 0.937
O 4.127 4.903 0.937
```


Compound: Nd2DyMoO8
Source: Alexandria
Functional: PBE+U
Structure: relaxed Values from VASP.

Computed properties:
final energy	-91.70	eV/cell
DOS(E_F)	0.5662	states/eV/atom
spin magnetization	1.04	μB/f.u.

Geometry as Quantum ESPRESSO input:
```
&SYSTEM
  ibrav = 0, nat = 12, ntyp = 4
/
ATOMIC_SPECIES
Nd 144.24 Nd.upf
Dy 162.50 Dy.upf
Mo 95.94 Mo.upf
O 16.00 O.upf
CELL_PARAMETERS angstrom
3.650 -3.707 0.000
3.650 3.707 0.000
0.000 0.000 6.930
ATOMIC_POSITIONS angstrom
Nd 0.000 0.000 1.729
Nd 0.000 0.000 5.201
Dy 3.650 0.000 3.465
Mo 3.650 0.000 0.000
O 1.455 0.000 3.465
O 1.717 0.000 0.000
O 3.650 1.310 1.463
O 3.650 1.310 5.468
O 3.650 -1.310 1.463
O 3.650 -1.310 5.468
O 5.584 0.000 0.000
O 5.846 0.000 3.465
```


Compound: DyMo2O6
Source: Alexandria
Functional: PBE+U
Structure: relaxed Values from VASP.

Computed properties:
final energy	-68.06	eV/cell
DOS(E_F)	0.3191	states/eV/atom
spin magnetization	3.00	μB/f.u.

Geometry as Quantum ESPRESSO input:
```
&SYSTEM
  ibrav = 0, nat = 9, ntyp = 3
/
ATOMIC_SPECIES
Dy 162.50 Dy.upf
Mo 95.94 Mo.upf
O 16.00 O.upf
CELL_PARAMETERS angstrom
2.605 -4.693 0.000
2.605 4.693 0.000
-0.059 0.000 4.883
ATOMIC_POSITIONS angstrom
Dy 0.000 0.000 0.000
Mo 2.575 1.546 2.442
Mo 2.575 -1.546 2.442
O 0.924 1.640 1.337
O 0.924 -1.640 1.337
O 1.808 0.000 3.526
O 3.343 0.000 1.357
O 4.227 1.640 3.546
O 4.227 -1.640 3.546
```


Compound: Dy3Mo5O12
Source: Alexandria
Functional: PBE+U
Structure: relaxed Values from VASP.

Computed properties:
final energy	-605.44	eV/cell
spin magnetization	15.00	μB/f.u.

Geometry as Quantum ESPRESSO input:
```
&SYSTEM
  ibrav = 0, nat = 80, ntyp = 3
/
ATOMIC_SPECIES
Dy 162.50 Dy.upf
Mo 95.94 Mo.upf
O 16.00 O.upf
CELL_PARAMETERS angstrom
-6.578 6.578 6.578
6.578 -6.578 6.578
6.578 6.578 -6.578
ATOMIC_POSITIONS angstrom
Dy 3.289 1.645 0.000
Dy 6.578 3.289 -1.645
Dy 1.645 0.000 3.289
Dy 8.223 0.000 3.289
Dy 0.000 3.289 1.645
Dy 3.289 -1.645 6.578
Dy 3.289 8.223 0.000
Dy 6.578 3.289 4.934
Dy -1.645 6.578 3.289
Dy 4.934 6.578 3.289
Dy 0.000 3.289 8.223
Dy 3.289 4.934 6.578
Mo 0.000 0.000 0.000
Mo 3.289 3.289 -3.289
Mo 3.289 -3.289 3.289
Mo 6.578 0.000 0.000
Mo 9.867 1.645 0.000
Mo 6.578 -3.289 4.934
Mo 4.934 6.578 -3.289
Mo 4.934 0.000 3.289
Mo 3.289 4.934 0.000
Mo 6.578 3.289 1.645
Mo -3.289 3.289 3.289
Mo 0.000 6.578 0.000
Mo 0.000 0.000 6.578
Mo 3.289 3.289 3.289
Mo 0.000 3.289 4.934
Mo 3.289 1.645 6.578
Mo 1.645 6.578 3.289
Mo 1.645 0.000 9.867
Mo 0.000 9.867 1.645
Mo -3.289 4.934 6.578
O 2.048 -0.178 0.703
O 7.819 3.992 -3.467
O 8.626 0.178 0.703
O 7.819 -2.586 3.467
O 6.401 -0.703 2.048
O 10.045 -1.241 2.586
O 0.703 2.048 -0.178
O 9.164 3.112 -1.241
O 3.992 3.467 -1.241
O 5.875 2.048 0.178
O -0.178 0.703 2.048
O 3.467 -1.241 3.992
O 6.401 5.875 -2.048
O 3.467 1.241 2.586
O 3.992 -3.467 7.819
O 5.875 -2.048 6.401
O 2.586 3.467 1.241
O 7.281 4.530 0.178
O 3.467 7.819 -2.586
O 6.401 0.703 4.530
O 2.048 6.401 -0.703
O 7.819 2.586 3.112
O 1.241 2.586 3.467
O 2.048 0.178 5.875
O 4.530 6.401 0.703
O 5.337 3.992 3.112
O -1.241 3.992 3.467
O 4.530 0.178 7.281
O 0.178 5.875 2.048
O 3.112 -1.241 9.164
O -0.703 2.048 6.401
O 3.992 3.112 5.337
O 0.703 8.626 0.178
O 2.586 10.045 -1.241
O 3.112 5.337 3.992
O 0.178 0.703 8.626
O 3.112 7.819 2.586
O 6.756 5.875 4.530
O 0.703 4.530 6.401
O 2.586 3.112 7.819
O -2.586 3.467 7.819
O 5.875 4.530 6.756
O -3.467 7.819 3.992
O 0.178 7.281 4.530
O -1.241 9.164 3.112
O -2.048 6.401 5.875
O -1.241 2.586 10.045
O 4.530 6.756 5.875
```